Record 1
## SmZr2O4 (PBE)

Data for SmZr2O4 after structural relaxation.

Structure (CIF):
```
data_SmZr2O4
_cell_length_a 6.613
_cell_length_b 6.613
_cell_length_c 6.613
_cell_angle_alpha 60.00
_cell_angle_beta 60.00
_cell_angle_gamma 60.00
_space_group_name_H-M_alt 'P 1'
_space_group_IT_number 1
loop_
_space_group_symop_operation_xyz
'x,y,z'
loop_
_atom_site_label
_atom_site_fract_x
_atom_site_fract_y
_atom_site_fract_z
Sm1 0.125 0.125 0.125
Sm2 0.875 0.875 0.875
Zr1 0.000 0.500 0.500
Zr2 0.500 0.000 0.500
Zr3 0.500 0.500 0.000
Zr4 0.500 0.500 0.500
O1 0.261 0.261 0.261
O2 0.261 0.261 0.717
O3 0.261 0.717 0.261
O4 0.283 0.739 0.739
O5 0.717 0.261 0.261
O6 0.739 0.283 0.739
O7 0.739 0.739 0.283
O8 0.739 0.739 0.739
```

The calculation puts the uncorrected energy at -8.7216 eV/atom.

Record 2
## Re2TeSe3 (PBE)

Data for Re2TeSe3 after structural relaxation.

Structure (CIF):
```
data_Re2TeSe3
_cell_length_a 6.743
_cell_length_b 6.884
_cell_length_c 7.372
_cell_angle_alpha 72.83
_cell_angle_beta 77.10
_cell_angle_gamma 61.69
_space_group_name_H-M_alt 'P 1'
_space_group_IT_number 1
loop_
_space_group_symop_operation_xyz
'x,y,z'
loop_
_atom_site_label
_atom_site_fract_x
_atom_site_fract_y
_atom_site_fract_z
Re1 0.009 0.293 0.004
Re2 0.428 0.324 0.011
Re3 0.572 0.676 0.989
Re4 0.991 0.707 0.996
Te1 0.386 0.121 0.773
Te2 0.614 0.879 0.227
Se1 0.110 0.376 0.268
Se2 0.167 0.858 0.171
Se3 0.343 0.668 0.758
Se4 0.657 0.332 0.242
Se5 0.833 0.142 0.829
Se6 0.890 0.624 0.732
```

The offset from the most stable computed form is 0.0058 eV/atom.

Record 3
## Y3Cd3AgAu2 (PBE)

Data for Y3Cd3AgAu2 after structural relaxation.

Structure (CIF):
```
data_Y3Cd3AgAu2
_cell_length_a 7.842
_cell_length_b 7.842
_cell_length_c 3.880
_cell_angle_alpha 90.00
_cell_angle_beta 90.00
_cell_angle_gamma 120.00
_space_group_name_H-M_alt 'P 1'
_space_group_IT_number 1
loop_
_space_group_symop_operation_xyz
'x,y,z'
loop_
_atom_site_label
_atom_site_fract_x
_atom_site_fract_y
_atom_site_fract_z
Y1 0.000 0.592 0.000
Y2 0.408 0.408 0.000
Y3 0.592 0.000 0.000
Cd1 0.000 0.261 0.500
Cd2 0.261 0.000 0.500
Cd3 0.739 0.739 0.500
Ag1 0.000 0.000 0.000
Au1 0.333 0.667 0.500
Au2 0.667 0.333 0.500
```

The calculation puts the uncorrected energy at -4.0851 eV/atom.

Record 4
## SiMo4C3 (PBE)

Data for SiMo4C3 after structural relaxation.

Structure (CIF):
```
data_SiMo4C3
_cell_length_a 3.118
_cell_length_b 3.118
_cell_length_c 22.429
_cell_angle_alpha 90.00
_cell_angle_beta 90.00
_cell_angle_gamma 120.00
_space_group_name_H-M_alt 'P 1'
_space_group_IT_number 1
loop_
_space_group_symop_operation_xyz
'x,y,z'
loop_
_atom_site_label
_atom_site_fract_x
_atom_site_fract_y
_atom_site_fract_z
Si1 0.333 0.667 0.250
Si2 0.667 0.333 0.750
Mo1 0.000 0.000 0.162
Mo2 0.000 0.000 0.338
Mo3 0.000 0.000 0.662
Mo4 0.000 0.000 0.838
Mo5 0.333 0.667 0.059
Mo6 0.333 0.667 0.441
Mo7 0.667 0.333 0.559
Mo8 0.667 0.333 0.941
C1 0.000 0.000 0.000
C2 0.000 0.000 0.500
C3 0.333 0.667 0.614
C4 0.333 0.667 0.886
C5 0.667 0.333 0.114
C6 0.667 0.333 0.386
```

The calculation puts the uncorrected energy at -9.4921 eV/atom.

Record 5
## TbGd2Al3Si2Pd (PBE)

Data for TbGd2Al3Si2Pd after structural relaxation.

Structure (CIF):
```
data_TbGd2Al3Si2Pd
_cell_length_a 4.278
_cell_length_b 6.930
_cell_length_c 6.930
_cell_angle_alpha 120.00
_cell_angle_beta 90.00
_cell_angle_gamma 90.00
_space_group_name_H-M_alt 'P 1'
_space_group_IT_number 1
loop_
_space_group_symop_operation_xyz
'x,y,z'
loop_
_atom_site_label
_atom_site_fract_x
_atom_site_fract_y
_atom_site_fract_z
Tb1 0.000 0.000 0.000
Gd1 0.000 0.165 0.583
Gd2 0.000 0.583 0.165
Al1 0.500 0.345 0.345
Al2 0.500 0.583 0.821
Al3 0.500 0.821 0.583
Si1 0.500 0.249 0.916
Si2 0.500 0.916 0.249
Pd1 0.000 0.584 0.584
```

The calculation puts the uncorrected energy at -5.3668 eV/atom.

Record 6
## GdSbIr (PBE)

Data for GdSbIr after structural relaxation.

Structure (CIF):
```
data_GdSbIr
_cell_length_a 7.463
_cell_length_b 7.463
_cell_length_c 4.030
_cell_angle_alpha 90.00
_cell_angle_beta 90.00
_cell_angle_gamma 120.00
_space_group_name_H-M_alt 'P 1'
_space_group_IT_number 1
loop_
_space_group_symop_operation_xyz
'x,y,z'
loop_
_atom_site_label
_atom_site_fract_x
_atom_site_fract_y
_atom_site_fract_z
Gd1 0.000 0.599 0.000
Gd2 0.401 0.401 0.000
Gd3 0.599 0.000 0.000
Sb1 0.000 0.264 0.500
Sb2 0.264 0.000 0.500
Sb3 0.736 0.736 0.500
Ir1 0.000 0.000 0.000
Ir2 0.333 0.667 0.500
Ir3 0.667 0.333 0.500
```

The calculation puts the uncorrected energy at -6.7389 eV/atom.

| no. | total magnetic moment (Bohr magnetons per cell) |
| --- | --- |
| 1 | 0.000 |
| 2 | 0.002 |
| 3 | 0.009 |
| 4 | 0.008 |
| 5 | 0.006 |
| 6 | 0.016 |